The following is a DFT calculation (PBE) of a geometry-optimized AcY2S structure.

- Spin magnetization: 0.00 μB per formula unit
- Formation energy from raw total energies: -803 meV/atom
- DOS(E_F): 1.125 states/eV per atom

a = 3.767 Å, b = 3.767 Å, c = 10.676 Å
α = 79.84°, β = 79.84°, γ = 60.00°
Element x y z (fractional)
Y 0.116 0.116 0.653
Y 0.884 0.884 0.347
Ac 0.000 0.000 0.000
S 0.500 0.500 0.500

The following is a DFT calculation (PBE) of a geometry-optimized Dy2InGa structure.

- Spin magnetization: 0.00 μB per formula unit
- DOS(E_F): 0.433 states/eV per atom
- Electronic total energy: -4.262 eV per atom

a = 3.584 Å, b = 3.584 Å, c = 7.692 Å
α = 90.00°, β = 90.00°, γ = 90.00°
Element x y z (fractional)
In 0.500 0.500 0.500
Ga 0.500 0.500 0.000
Dy 0.000 0.000 0.765
Dy 0.000 0.000 0.235

The following is a DFT calculation (PBE) of a geometry-optimized ZnSb2RuN structure.

- Spin magnetization: 0.23 μB per formula unit
- Formation energy from raw total energies: 581 meV/atom
- DOS(E_F): 0.760 states/eV per atom

a = 4.849 Å, b = 3.676 Å, c = 4.849 Å
α = 90.00°, β = 90.00°, γ = 90.00°
Site moments in Bohr magnetons follow the coordinates.
Element x y z (fractional)
Sb 0.000 0.000 0.500  0.00
Sb 0.500 0.000 0.000  0.00
Zn 0.000 0.500 0.000  0.00
N 0.000 0.000 0.000  0.00
Ru 0.500 0.500 0.500  0.22